First-principles (PBE with a Hubbard U) data for W3BrF after structural relaxation, as listed in Alexandria.

Output
uncorrected energy = -2.357 eV per atom

Cell: 4.733 4.733 4.733 Å, 90.00 90.00 90.00°
Last column: magnetic moment on the atom in μB.
Element x y z (fractional)
Br 0.000 0.000 0.000  -0.06
W 0.000 0.000 0.500  0.69
W 0.000 0.500 0.000  0.63
W 0.500 0.000 0.000  0.61
F 0.500 0.500 0.500  0.05